# 1
# Mg2BeGa2Cu5

A relaxed structure of Mg2BeGa2Cu5 (PBE, Alexandria).

Values from the calculation:
As for the formation energy: -0.034 eV per atom.

Geometry as extended XYZ:
```
20
Lattice="-2.691 -1.017 -0.734 3.826 -8.893 -1.699 -1.617 -2.486 9.371" Properties=species:S:1:pos:R:3 pbc="T T T"
Cu 0.270 -10.196 7.134
Cu -0.149 -5.314 1.904
Ga -0.502 -2.824 5.751
Cu -0.753 -2.200 -0.196
Ga 2.710 -8.555 1.921
Mg -0.075 -5.024 7.235
Cu 0.514 -7.640 2.699
Ga 1.157 -3.556 0.689
Cu 2.003 -9.393 -0.330
Cu -2.486 -3.003 7.268
Cu -0.996 -4.756 4.239
Cu -2.154 -1.751 4.318
Mg 0.104 -2.317 2.830
Be 1.104 -5.689 3.836
Ga 1.051 -7.822 6.984
Be 0.000 0.000 0.000
Mg 2.104 -9.062 4.843
Mg 2.283 -6.355 0.437
Cu -0.334 -7.083 5.034
Cu 0.567 -4.955 -1.216
```

# 2
# BeGa2CuMo

A relaxed structure of BeGa2CuMo (PBE, Alexandria).

Values from the calculation:
As for the formation energy: 0.797 eV per atom.

Geometry as extended XYZ:
```
5
Lattice="4.463 0.000 0.000 0.000 4.010 0.000 0.000 0.000 4.463" Properties=species:S:1:pos:R:3 pbc="T T T"
Ga 2.231 0.000 0.000
Ga 0.000 0.000 2.231
Be 0.000 2.005 0.000
Cu 0.000 0.000 0.000
Mo 2.231 2.005 2.231
```

# 3
# BeGaCuO4

A relaxed structure of BeGaCuO4 (PBE, Alexandria).

Values from the calculation:
For the formation energy from raw total energies, the calculation gives -1.40 eV per atom.

Geometry as extended XYZ:
```
14
Lattice="4.841 0.004 0.000 -1.941 4.434 0.000 0.000 0.000 6.166" Properties=species:S:1:pos:R:3 pbc="T T T"
O -0.214 3.306 0.216
O 3.114 1.132 3.299
O -0.214 3.306 2.867
Cu -0.717 3.635 4.625
O 2.288 3.261 1.542
Ga 1.450 2.219 3.083
Be -0.975 3.803 1.542
Be 3.875 0.635 4.625
Cu 3.616 0.804 1.542
O 2.067 3.405 4.625
Ga 1.450 2.219 0.000
O 3.114 1.132 5.950
O 0.612 1.177 4.625
O 0.832 1.033 1.542
```

# 4
# Pa2BeGa4Cu3

A relaxed structure of Pa2BeGa4Cu3 (PBE, Alexandria).

Values from the calculation:
As for the formation energy: -0.254 eV per atom.

Geometry as extended XYZ:
```
10
Lattice="-3.564 2.049 -0.190 -2.043 -3.479 0.814 0.585 1.914 9.646" Properties=species:S:1:pos:R:3 pbc="T T T"
Be -2.511 0.242 5.135
Cu -1.277 2.677 8.235
Pa -1.631 1.520 2.403
Ga -0.802 -1.022 4.023
Ga -1.416 2.221 5.935
Ga 0.000 0.000 0.000
Cu 0.293 0.957 4.823
Pa -0.588 -0.321 7.555
Cu -0.942 -1.478 1.723
Ga -2.804 -0.715 0.312
```

For the records above, the corresponding VASP energy values read -3.3788; -4.1448; -5.7801; -4.9654 eV per atom.
For the records above, the corresponding density values read 6.0; 6.4; 5.2; 9.4 g cm⁻³.
For the records above, the corresponding V values read 14.3; 16.0; 9.5; 16.7 A^3/atom.